Computed, not measured: a relaxed structure of YV at the GGA-PBE level of DFT.

## Properties
DFT formation energy: 1272 meV/atom
relative energy among the computed polymorphs: 1.042 eV/atom

a b c (Å): 8.325 8.325 8.325
angles (deg): 90.00 90.00 90.00
Sites, in units of the cell vectors:
V: 0.901 0.901 0.099
V: 0.599 0.599 0.599
V: 0.901 0.099 0.901
V: 0.599 0.401 0.401
V: 0.099 0.099 0.099
V: 0.401 0.599 0.401
V: 0.099 0.901 0.901
V: 0.401 0.401 0.599
Y: 0.216 0.784 0.216
Y: 0.716 0.716 0.284
Y: 0.284 0.284 0.284
Y: 0.284 0.716 0.716
Y: 0.716 0.284 0.716
Y: 0.216 0.216 0.784
Y: 0.784 0.216 0.216
Y: 0.784 0.784 0.784